Record 1
# Co2ReSe

A crystal of Co2ReSe relaxed with PBEsol (meta-GGA SCAN, the Alexandria database).

a b c (Å): 3.013 3.999 4.849
angles (deg): 114.35 108.10 90.00
Each line ends with the local moment (μB).
Element x y z (fractional)
Re: 0.476 0.476 0.953  0.26
Co: 0.035 0.035 0.069  1.06
Co: 0.249 0.749 0.498  1.46
Se: 0.740 0.240 0.480  -0.03

ρ: 12.7 g/cm3
SG: Imm2 (44)
crystal system: orthorhombic
uncorrected energy: -30.872 eV per atom

Record 2
# Co2ReSe

A crystal of Co2ReSe relaxed with PBEsol (meta-GGA SCAN, the Alexandria database).

a b c (Å): 2.756 4.329 4.503
angles (deg): 94.08 90.00 108.56
Each line ends with the local moment (μB).
Element x y z (fractional)
Re: 0.521 0.042 0.545  -0.03
Co: 0.989 0.979 0.017  0.83
Co: 0.254 0.508 0.758  -0.61
Se: 0.736 0.471 0.180  0.01

ρ: 12.5 g/cm3
SG: Cm (8)
crystal system: monoclinic
uncorrected energy: -30.935 eV per atom

Record 3
# CoRe2Se

A crystal of CoRe2Se relaxed with PBEsol (meta-GGA SCAN, the Alexandria database).

a b c (Å): 2.807 2.807 8.291
angles (deg): 80.25 80.25 60.00
Each line ends with the local moment (μB).
Element x y z (fractional)
Co: 0.246 0.246 0.261  1.35
Re: 0.997 0.997 0.009  0.00
Re: 0.750 0.750 0.749  -0.04
Se: 0.506 0.506 0.482  -0.01

ρ: 15.3 g/cm3
SG: R3m (160)
crystal system: trigonal
uncorrected energy: -44.494 eV per atom

Record 4
# CoReSe

A crystal of CoReSe relaxed with PBEsol (meta-GGA SCAN, the Alexandria database).

a b c (Å): 4.003 4.003 4.003
angles (deg): 60.00 60.00 60.00
Each line ends with the local moment (μB).
Element x y z (fractional)
Co: 0.250 0.250 0.250  1.00
Re: 0.000 0.000 0.000  0.91
Se: 0.500 0.500 0.500  -0.05

ρ: 11.9 g/cm3
SG: F-43m (216)
crystal system: cubic
uncorrected energy: -35.195 eV per atom

Record 5
# Co2ReSe

A crystal of Co2ReSe relaxed with PBEsol (meta-GGA SCAN, the Alexandria database).

a b c (Å): 2.741 2.741 7.985
angles (deg): 80.12 80.12 60.00
Each line ends with the local moment (μB).
Element x y z (fractional)
Re: 0.500 0.500 0.500  -0.02
Co: 0.253 0.253 0.240  1.26
Co: 0.747 0.747 0.760  1.26
Se: 0.000 0.000 0.000  0.01

ρ: 12.5 g/cm3
SG: R-3m (166)
crystal system: trigonal
uncorrected energy: -31.034 eV per atom

Record 6
# CoRe2Se

A crystal of CoRe2Se relaxed with PBEsol (meta-GGA SCAN, the Alexandria database).

a b c (Å): 4.312 4.312 4.312
angles (deg): 60.00 60.00 60.00
Each line ends with the local moment (μB).
Element x y z (fractional)
Co: 0.500 0.500 0.500  1.87
Re: 0.000 0.000 0.000  0.04
Re: 0.750 0.750 0.750  0.26
Se: 0.250 0.250 0.250  0.07

ρ: 14.9 g/cm3
SG: F-43m (216)
crystal system: cubic
uncorrected energy: -44.291 eV per atom

One value per record, in order, for total magnetization: 2.72; 0.17; 1.23; 2.10; 2.38; 2.25 μB/f.u..
One value per record, in order, for energy relative to the elements, uncorrected: 0.574; 0.511; 0.400; 0.965; 0.412; 0.603 eV per atom.